1.
Crystalline Tb2TmGa2Rh5 at its relaxed geometry. Source: Alexandria, functional PBE.

Cell lengths 3.5863, 10.0255, 10.0255 Å; angles 90.00, 90.00, 90.00 degrees
Closest atoms and distances in Å follow each position.
Positions (direct):
Tb: 0.0000 0.6732 0.1732  3 Ga 2.89-3.01, 6 Rh 3.04-3.16
Tb: 0.0000 0.3268 0.8268  3 Ga 2.89-3.01, 6 Rh 3.04-3.16
Tb: 0.0000 0.1732 0.3268  3 Ga 2.89-3.01, 6 Rh 3.04-3.16
Tb: 0.0000 0.8268 0.6732  3 Ga 2.89-3.01, 6 Rh 3.04-3.16
Tm: 0.0000 0.0000 0.0000  8 Rh 2.86
Tm: 0.0000 0.5000 0.5000  8 Rh 2.86
Ga: 0.0000 0.1233 0.6233  6 Rh 2.50
Ga: 0.0000 0.8767 0.3767  6 Rh 2.50
Ga: 0.0000 0.6233 0.8767  6 Rh 2.50
Ga: 0.0000 0.3767 0.1233  6 Rh 2.50
Rh: 0.5000 0.2113 0.0706  2 Ga 2.50
Rh: 0.5000 0.7887 0.9294  2 Ga 2.50
Rh: 0.5000 0.0706 0.7887  2 Ga 2.50
Rh: 0.5000 0.7113 0.4294  2 Ga 2.50
Rh: 0.5000 0.9294 0.2113  2 Ga 2.50
Rh: 0.5000 0.2887 0.5706  2 Ga 2.50
Rh: 0.5000 0.5706 0.7113  2 Ga 2.50
Rh: 0.5000 0.4294 0.2887  2 Ga 2.50
Rh: 0.5000 0.5000 0.0000  4 Ga 2.50
Rh: 0.5000 0.0000 0.5000  4 Ga 2.50

## Properties
**VASP energy**: -6.5045 eV/atom
**Crystal system**: tetragonal
**DFT formation energy**: -850 meV/atom


2.
Crystalline Tb2Y2GaRh4 at its relaxed geometry. Source: Alexandria, functional PBE.

Cell lengths 6.3902, 6.3902, 6.3902 Å; angles 94.24, 117.58, 117.58 degrees
Closest atoms and distances in Å follow each position.
Positions (direct):
Tb: 0.0000 0.6844 0.6844  1 Ga 2.74, 4 Rh 2.77
Tb: 0.0000 0.3156 0.3156  1 Ga 2.74, 4 Rh 2.77
Y: 0.5000 0.7500 0.2500  8 Rh 3.20, 4 Tb 3.36
Y: 0.5000 0.2500 0.7500  8 Rh 3.20, 4 Tb 3.36
Ga: 0.0000 0.0000 0.0000  4 Rh 2.42
Rh: 0.0000 0.7414 0.2586  1 Ga 2.42
Rh: 0.4828 0.7414 0.7414  1 Ga 2.42
Rh: 0.0000 0.2586 0.7414  1 Ga 2.42
Rh: 0.5172 0.2586 0.2586  1 Ga 2.42

## Properties
**VASP energy**: -6.5829 eV/atom
**Crystal system**: tetragonal
**DFT formation energy**: -514 meV/atom


3.
Crystalline Tb2ZnGa4Rh3 at its relaxed geometry. Source: Alexandria, functional PBE.

Cell lengths 4.0024, 4.0024, 11.3408 Å; angles 90.00, 90.00, 90.00 degrees
Closest atoms and distances in Å follow each position.
Positions (direct):
Tb: 0.5000 0.0000 0.2399  4 Rh 3.05, 8 Ga 3.15-3.38
Tb: 0.0000 0.5000 0.7601  4 Rh 3.05, 8 Ga 3.15-3.38
Zn: 0.5000 0.5000 0.5000  4 Ga 2.55, 4 Rh 2.83
Ga: 0.5000 0.5000 0.0000  4 Rh 2.55, 4 Ga 2.83
Ga: 0.0000 0.0000 0.0000  4 Rh 2.55, 4 Ga 2.83
Ga: 0.5000 0.0000 0.6388  3 Rh 2.51-2.55, 2 Zn 2.55
Ga: 0.0000 0.5000 0.3612  3 Rh 2.51-2.55, 2 Zn 2.55
Rh: 0.0000 0.0000 0.5000  4 Ga 2.55, 4 Zn 2.83
Rh: 0.5000 0.0000 0.8601  5 Ga 2.51-2.55
Rh: 0.0000 0.5000 0.1399  5 Ga 2.51-2.55

## Properties
**VASP energy**: -5.1624 eV/atom
**Crystal system**: tetragonal
**DFT formation energy**: -693 meV/atom


4.
Crystalline Tb2ZnGa3Rh4 at its relaxed geometry. Source: Alexandria, functional PBE.

Cell lengths 4.2008, 4.2008, 10.2582 Å; angles 90.00, 90.00, 90.00 degrees
Closest atoms and distances in Å follow each position.
Positions (direct):
Tb: 0.5000 0.0000 0.2412  6 Ga 3.19-3.38, 8 Rh 3.23-3.25, 2 Zn 3.38
Tb: 0.0000 0.5000 0.7588  6 Ga 3.19-3.38, 8 Rh 3.23-3.25, 2 Zn 3.38
Zn: 0.5000 0.5000 0.5000  4 Rh 2.52
Ga: 0.0000 0.0000 0.5000  4 Rh 2.52
Ga: 0.5000 0.0000 0.8729  5 Rh 2.44-2.47
Ga: 0.0000 0.5000 0.1271  5 Rh 2.44-2.47
Rh: 0.5000 0.5000 0.0000  4 Ga 2.47
Rh: 0.0000 0.0000 0.0000  4 Ga 2.47
Rh: 0.5000 0.0000 0.6354  3 Ga 2.44-2.52, 2 Zn 2.52
Rh: 0.0000 0.5000 0.3646  3 Ga 2.44-2.52, 2 Zn 2.52

## Properties
**VASP energy**: -5.6566 eV/atom
**Crystal system**: tetragonal
**DFT formation energy**: -755 meV/atom


> What is the DFT formation energy in the fourth record?

-755 meV/atom